## w
Computed, not measured: an optimized crystal structure of Co3TcTe at the PBE level of DFT.

Cell: 4.5749 4.5749 4.5749 Å, 90.00 90.00 90.00°
With the nearest neighbours (Å) after each atom.
Fractional coordinates of all 5 atoms:
Co (0.0000, 0.0000, 0.5000)  2 Te 2.29
Co (0.0000, 0.5000, 0.0000)  2 Te 2.29
Co (0.5000, 0.0000, 0.0000)  2 Te 2.29
Tc (0.5000, 0.5000, 0.5000)  12 Co 3.23
Te (0.0000, 0.0000, 0.0000)  6 Co 2.29

Summary:
- SG: No. 221
- Magnetic moment: 1.566 μB per atom

***

## x
Computed, not measured: an optimized crystal structure of Co3TcTe at the PBE level of DFT.

Cell: 4.4444 4.4444 4.4444 Å, 90.00 90.00 90.00°
With the nearest neighbours (Å) after each atom.
Fractional coordinates of all 5 atoms:
Co (0.0000, 0.0000, 0.5000)  2 Tc 2.22
Co (0.0000, 0.5000, 0.0000)  2 Tc 2.22
Co (0.5000, 0.0000, 0.0000)  2 Tc 2.22
Tc (0.0000, 0.0000, 0.0000)  6 Co 2.22
Te (0.5000, 0.5000, 0.5000)  12 Co 3.14

Summary:
- SG: No. 221
- Magnetic moment: 0.000 μB per atom

***

Of them, x has the highest stability.

***

## w
Computed, not measured: an optimized crystal structure of CoTcTe2 at the PBE level of DFT.

Cell: 3.3771 3.6638 14.5925 Å, 90.00 90.00 90.00°
With the nearest neighbours (Å) after each atom.
Fractional coordinates of all 8 atoms:
Co (0.0000, 0.0000, 0.0000)  2 Tc 2.43, 4 Te 2.60
Co (0.5000, 0.5000, 0.5000)  2 Tc 2.43, 4 Te 2.60
Tc (0.0000, 0.5000, 0.8906)  2 Co 2.43
Tc (0.5000, 0.0000, 0.3906)  2 Co 2.43
Te (0.0000, 0.0000, 0.5503)  4 Co 2.60, 2 Tc 2.88
Te (0.0000, 0.5000, 0.2991)  4 Tc 2.83
Te (0.5000, 0.0000, 0.7991)  4 Tc 2.83
Te (0.5000, 0.5000, 0.0503)  4 Co 2.60, 2 Tc 2.88

Summary:
- SG: No. 44
- Magnetic moment: 0.344 μB per atom

***

## x
Computed, not measured: an optimized crystal structure of CoTcTe2 at the PBE level of DFT.

Cell: 3.8892 3.8892 9.6406 Å, 90.00 90.00 90.00°
With the nearest neighbours (Å) after each atom.
Fractional coordinates of all 8 atoms:
Co (0.0000, 0.0000, 0.0000)  4 Te 2.75
Co (0.5000, 0.5000, 0.5000)  4 Te 2.75
Tc (0.0000, 0.5000, 0.7500)  4 Te 2.75
Tc (0.5000, 0.0000, 0.2500)  4 Te 2.75
Te (0.0000, 0.0000, 0.5000)  4 Co 2.75
Te (0.0000, 0.5000, 0.2500)  4 Tc 2.75
Te (0.5000, 0.0000, 0.7500)  4 Tc 2.75
Te (0.5000, 0.5000, 0.0000)  4 Co 2.75

Summary:
- SG: No. 119
- Magnetic moment: 0.191 μB per atom

***

Of them, w has the highest stability.